1.
Ba3MgCd2 | PBE-GGA | optimized geometry

Theoretical density   4632 kg/m3
Formation enthalpy at 0 K   -0.235 eV per atom
Symmetry   P4/mmm

abc: 4.2909 4.2909 12.8710
angles: 90.00 90.00 90.00
Last column: nearest neighbours and their distance in Å.
Atoms (fractional coordinates):
Ba 0.0000 0.0000 0.0000  8 Cd 3.71
Ba 0.0000 0.0000 0.6734  4 Cd 3.67, 4 Mg 3.77
Ba 0.0000 0.0000 0.3266  4 Cd 3.67, 4 Mg 3.77
Mg 0.5000 0.5000 0.5000  8 Ba 3.77
Cd 0.5000 0.5000 0.8336  8 Ba 3.67-3.71
Cd 0.5000 0.5000 0.1664  8 Ba 3.67-3.71


2.
BeSi3 | PBE-GGA | optimized geometry

Theoretical density   2894 kg/m3
DFT total energy   -4.5466 eV/atom
Symmetry   R-3m

abc: 9.7375 9.7375 9.7375
angles: 14.95 14.95 14.95
Last column: nearest neighbours and their distance in Å.
Atoms (fractional coordinates):
Be 0.0000 0.0000 0.0000  6 Be 2.53, 6 Si 2.54
Si 0.7387 0.7387 0.7387  6 Si 2.53, 3 Be 2.54
Si 0.5000 0.5000 0.5000  6 Si 2.53
Si 0.2613 0.2613 0.2613  6 Si 2.53, 3 Be 2.54


3.
LiNd8Sn2 | PBE-GGA | optimized geometry

Theoretical density   6673 kg/m3
Formation enthalpy at 0 K   -0.240 eV per atom
Symmetry   C2/m

abc: 5.2510 7.0086 10.1567
angles: 104.96 104.98 90.00
Last column: nearest neighbours and their distance in Å.
Atoms (fractional coordinates):
Li 0.5000 0.0000 0.0000  8 Nd 3.05-3.39
Nd 0.4069 0.5175 0.8138  1 Li 3.39, 2 Sn 3.41, 5 Nd 3.44-3.76
Nd 0.6548 0.9908 0.3095  1 Li 3.05, 3 Sn 3.23-3.25
Nd 0.7907 0.6877 0.5813  3 Sn 3.26-3.50, 2 Nd 3.44
Nd 0.9846 0.2283 0.9692  2 Li 3.13, 1 Sn 3.29, 1 Nd 3.41
Nd 0.2093 0.3123 0.4187  3 Sn 3.26-3.50, 2 Nd 3.44
Nd 0.3452 0.0092 0.6905  1 Li 3.05, 3 Sn 3.23-3.25
Nd 0.5931 0.4825 0.1862  1 Li 3.39, 2 Sn 3.41, 5 Nd 3.44-3.76
Nd 0.0154 0.7717 0.0308  2 Li 3.13, 1 Sn 3.29, 1 Nd 3.41
Sn 0.8192 0.2497 0.6384  9 Nd 3.23-3.50
Sn 0.1808 0.7503 0.3616  9 Nd 3.23-3.50


4.
NpCo5B3 | PBE-GGA | optimized geometry

Theoretical density   9802 kg/m3
Formation enthalpy at 0 K   -0.156 eV per atom
Symmetry   Cmcm

abc: 3.3868 5.6366 10.4966
angles: 90.00 90.00 107.48
Last column: nearest neighbours and their distance in Å.
Atoms (fractional coordinates):
Np 0.8337 0.6673 0.7500  7 B 2.83-3.00, 8 Co 2.89-3.11
Np 0.1663 0.3327 0.2500  7 B 2.83-3.00, 8 Co 2.89-3.11
Co 0.7968 0.5935 0.4294  2 B 1.98-2.12
Co 0.2032 0.4065 0.9294  2 B 1.98-2.12
Co 0.0000 0.0000 0.5000  4 B 2.14, 6 Co 2.31-2.34
Co 0.0000 0.0000 0.0000  4 B 2.14, 6 Co 2.31-2.34
Co 0.4466 0.8932 0.1440  4 B 2.05-2.12, 1 Co 2.23
Co 0.5534 0.1068 0.8560  4 B 2.05-2.12, 1 Co 2.23
Co 0.5534 0.1068 0.6440  4 B 2.05-2.12, 1 Co 2.23
Co 0.7968 0.5935 0.0706  2 B 1.98-2.12
Co 0.2032 0.4065 0.5706  2 B 1.98-2.12
Co 0.4466 0.8932 0.3560  4 B 2.05-2.12, 1 Co 2.23
B 0.3849 0.7697 0.9596  5 Co 1.98-2.14
B 0.8872 0.7744 0.2500  6 Co 2.12
B 0.3849 0.7697 0.5404  5 Co 1.98-2.14
B 0.6151 0.2303 0.4596  5 Co 1.98-2.14
B 0.1128 0.2256 0.7500  6 Co 2.12
B 0.6151 0.2303 0.0404  5 Co 1.98-2.14


5.
InBiPd14 | PBE-GGA | optimized geometry

Theoretical density   11628 kg/m3
Formation enthalpy at 0 K   -0.170 eV per atom
Symmetry   P4/mmm

abc: 5.7723 5.7723 7.7737
angles: 90.00 90.00 90.00
Last column: nearest neighbours and their distance in Å.
Atoms (fractional coordinates):
In 0.8750 0.8750 0.5000  12 Pd 2.83-2.89
Bi 0.3750 0.3750 0.5000  12 Pd 2.85-2.89
Pd 0.8750 0.8750 0.0000  12 Pd 2.78-2.89
Pd 0.3750 0.3750 0.0000  12 Pd 2.80-2.89
Pd 0.8750 0.3750 0.5000  8 Pd 2.84, 2 In 2.89, 2 Bi 2.89
Pd 0.8750 0.3750 0.0000  12 Pd 2.79-2.89
Pd 0.3750 0.8750 0.5000  8 Pd 2.84, 2 In 2.89, 2 Bi 2.89
Pd 0.3750 0.8750 0.0000  12 Pd 2.79-2.89
Pd 0.6266 0.1234 0.2456  10 Pd 2.78-2.90, 1 In 2.83, 1 Bi 2.85
Pd 0.6266 0.1234 0.7544  10 Pd 2.78-2.90, 1 In 2.83, 1 Bi 2.85
Pd 0.1234 0.6266 0.2456  10 Pd 2.78-2.90, 1 In 2.83, 1 Bi 2.85
Pd 0.1234 0.6266 0.7544  10 Pd 2.78-2.90, 1 In 2.83, 1 Bi 2.85
Pd 0.6266 0.6266 0.2456  10 Pd 2.78-2.90, 1 In 2.83, 1 Bi 2.85
Pd 0.6266 0.6266 0.7544  10 Pd 2.78-2.90, 1 In 2.83, 1 Bi 2.85
Pd 0.1234 0.1234 0.2456  10 Pd 2.78-2.90, 1 In 2.83, 1 Bi 2.85
Pd 0.1234 0.1234 0.7544  10 Pd 2.78-2.90, 1 In 2.83, 1 Bi 2.85


6.
Li2Sc2AlPd5 | PBE-GGA | optimized geometry

Theoretical density   7184 kg/m3
Formation enthalpy at 0 K   -0.684 eV per atom
Symmetry   P4/mbm

abc: 3.4125 9.4761 9.4761
angles: 90.00 90.00 90.00
Last column: nearest neighbours and their distance in Å.
Atoms (fractional coordinates):
Li 0.0000 0.1248 0.6248  6 Pd 2.39-2.43
Li 0.0000 0.8752 0.3752  6 Pd 2.39-2.43
Li 0.0000 0.6248 0.8752  6 Pd 2.39-2.43
Li 0.0000 0.3752 0.1248  6 Pd 2.39-2.43
Sc 0.0000 0.6745 0.1745  3 Li 2.69-2.88, 6 Pd 2.90-2.99
Sc 0.0000 0.3255 0.8255  3 Li 2.69-2.88, 6 Pd 2.90-2.99
Sc 0.0000 0.1745 0.3255  3 Li 2.69-2.88, 6 Pd 2.90-2.99
Sc 0.0000 0.8255 0.6745  3 Li 2.69-2.88, 6 Pd 2.90-2.99
Al 0.0000 0.0000 0.0000  8 Pd 2.64
Al 0.0000 0.5000 0.5000  8 Pd 2.64
Pd 0.5000 0.2012 0.0681  2 Li 2.43, 2 Al 2.64
Pd 0.5000 0.7988 0.9319  2 Li 2.43, 2 Al 2.64
Pd 0.5000 0.0681 0.7988  2 Li 2.43, 2 Al 2.64
Pd 0.5000 0.7012 0.4319  2 Li 2.43, 2 Al 2.64
Pd 0.5000 0.9319 0.2012  2 Li 2.43, 2 Al 2.64
Pd 0.5000 0.2988 0.5681  2 Li 2.43, 2 Al 2.64
Pd 0.5000 0.5681 0.7012  2 Li 2.43, 2 Al 2.64
Pd 0.5000 0.4319 0.2988  2 Li 2.43, 2 Al 2.64
Pd 0.5000 0.5000 0.0000  4 Li 2.39
Pd 0.5000 0.0000 0.5000  4 Li 2.39


7.
Li2Dy3Cu9 | PBE-GGA | optimized geometry

Theoretical density   7827 kg/m3
Formation enthalpy at 0 K   -0.169 eV per atom
Symmetry   Immm

abc: 4.2355 7.8796 7.8796
angles: 66.08 74.41 74.41
Last column: nearest neighbours and their distance in Å.
Atoms (fractional coordinates):
Li 0.5000 0.3064 0.6936  8 Cu 2.51-2.69
Li 0.5000 0.6936 0.3064  8 Cu 2.51-2.69
Dy 0.0000 0.0000 0.0000  12 Cu 2.95-3.22
Dy 0.7090 0.2910 0.2910  12 Cu 2.91-3.18, 2 Li 3.10
Dy 0.2910 0.7090 0.7090  12 Cu 2.91-3.18, 2 Li 3.10
Cu 0.0000 0.5000 0.5000  4 Cu 2.46, 4 Li 2.69
Cu 0.6669 0.9781 0.6881  4 Cu 2.48-2.61, 1 Li 2.51
Cu 0.3331 0.0219 0.3119  4 Cu 2.48-2.61, 1 Li 2.51
Cu 0.6669 0.6881 0.9781  4 Cu 2.48-2.61, 1 Li 2.51
Cu 0.3331 0.3119 0.0219  4 Cu 2.48-2.61, 1 Li 2.51
Cu 0.8700 0.8441 0.4159  4 Cu 2.46-2.61, 2 Li 2.68
Cu 0.1300 0.1559 0.5841  4 Cu 2.46-2.61, 2 Li 2.68
Cu 0.8700 0.4159 0.8441  4 Cu 2.46-2.61, 2 Li 2.68
Cu 0.1300 0.5841 0.1559  4 Cu 2.46-2.61, 2 Li 2.68


8.
NaAg3Pd3 | PBE-GGA | optimized geometry

Theoretical density   9262 kg/m3
Formation enthalpy at 0 K   -0.029 eV per atom
Symmetry   P6_3/m

abc: 4.7332 7.6321 7.6321
angles: 120.00 90.00 90.00
Last column: nearest neighbours and their distance in Å.
Atoms (fractional coordinates):
Na 0.2500 0.6667 0.3333  9 Pd 2.88-2.90, 3 Ag 2.89
Na 0.7500 0.3333 0.6667  9 Pd 2.88-2.90, 3 Ag 2.89
Ag 0.7500 0.1988 0.2386  5 Pd 2.83-2.94, 1 Na 2.89, 6 Ag 2.91-2.93
Ag 0.7500 0.0399 0.8012  5 Pd 2.83-2.94, 1 Na 2.89, 6 Ag 2.91-2.93
Ag 0.2500 0.2386 0.0399  5 Pd 2.83-2.94, 1 Na 2.89, 6 Ag 2.91-2.93
Ag 0.7500 0.7614 0.9601  5 Pd 2.83-2.94, 1 Na 2.89, 6 Ag 2.91-2.93
Ag 0.2500 0.9601 0.1988  5 Pd 2.83-2.94, 1 Na 2.89, 6 Ag 2.91-2.93
Ag 0.2500 0.8012 0.7614  5 Pd 2.83-2.94, 1 Na 2.89, 6 Ag 2.91-2.93
Pd 0.7500 0.4755 0.0941  5 Ag 2.83-2.94, 3 Na 2.88-2.90, 4 Pd 2.89-2.90
Pd 0.7500 0.6186 0.5245  5 Ag 2.83-2.94, 3 Na 2.88-2.90, 4 Pd 2.89-2.90
Pd 0.2500 0.0941 0.6186  5 Ag 2.83-2.94, 3 Na 2.88-2.90, 4 Pd 2.89-2.90
Pd 0.7500 0.9059 0.3814  5 Ag 2.83-2.94, 3 Na 2.88-2.90, 4 Pd 2.89-2.90
Pd 0.2500 0.3814 0.4755  5 Ag 2.83-2.94, 3 Na 2.88-2.90, 4 Pd 2.89-2.90
Pd 0.2500 0.5245 0.9059  5 Ag 2.83-2.94, 3 Na 2.88-2.90, 4 Pd 2.89-2.90


9.
ZrAlBr2 | PBE-GGA | optimized geometry

Theoretical density   4371 kg/m3
DFT total energy   -4.2305 eV/atom
Symmetry   Cmmm

abc: 3.5493 3.5493 10.1973
angles: 90.00 90.00 124.71
Last column: nearest neighbours and their distance in Å.
Atoms (fractional coordinates):
Br 0.0000 0.0000 0.0357  2 Zr 2.74
Br 0.0000 0.0000 0.4643  2 Zr 2.74
Zr 0.5000 0.5000 0.2500  4 Br 2.74
Al 0.5000 0.5000 0.7500  6 Al 3.29-3.55, 4 Br 3.35


10.
MnGaSe3 | PBE-GGA | optimized geometry

Theoretical density   4516 kg/m3
DFT total energy   -4.9729 eV/atom
Symmetry   C2/m

abc: 3.7061 7.0546 10.5902
angles: 95.42 90.00 105.23
Last column: nearest neighbours and their distance in Å.
Atoms (fractional coordinates):
Mn 0.6443 0.2886 0.9159  5 Se 2.50-2.70
Mn 0.3557 0.7114 0.0841  5 Se 2.50-2.70
Ga 0.9277 0.8554 0.7127  4 Se 2.36-2.60
Ga 0.0723 0.1446 0.2873  4 Se 2.36-2.60
Se 0.3588 0.7177 0.5986  2 Ga 2.36
Se 0.6412 0.2823 0.4014  2 Ga 2.36
Se 0.8427 0.6854 0.9223  3 Mn 2.52-2.70, 1 Ga 2.60
Se 0.1573 0.3146 0.0777  3 Mn 2.52-2.70, 1 Ga 2.60
Se 0.1078 0.2156 0.7593  1 Ga 2.45, 2 Mn 2.50
Se 0.8922 0.7844 0.2407  1 Ga 2.45, 2 Mn 2.50


11.
CaAlGa2Tc | PBE-GGA | optimized geometry

Theoretical density   4539 kg/m3
Formation enthalpy at 0 K   -0.256 eV per atom
Symmetry   P4/mmm

abc: 4.8350 4.8350 4.7650
angles: 90.00 90.00 90.00
Last column: nearest neighbours and their distance in Å.
Atoms (fractional coordinates):
Ca 0.5000 0.5000 0.5000  8 Ga 3.39, 4 Al 3.42
Tc 0.0000 0.0000 0.0000  2 Al 2.38, 4 Ga 2.42
Ga 0.0000 0.5000 0.0000  2 Tc 2.42
Ga 0.5000 0.0000 0.0000  2 Tc 2.42
Al 0.0000 0.0000 0.5000  2 Tc 2.38


12.
Cd3SnSb | PBE-GGA | optimized geometry

Theoretical density   6958 kg/m3
DFT total energy   -2.0941 eV/atom
Symmetry   C2/c

abc: 7.2180 7.2180 12.3509
angles: 84.59 84.59 59.55
Last column: nearest neighbours and their distance in Å.
Atoms (fractional coordinates):
Cd 0.7679 0.9811 0.7829  2 Sn 3.01-3.14, 2 Sb 3.02-3.13, 3 Cd 3.16-3.27
Cd 0.0189 0.2321 0.7171  2 Sn 3.01-3.14, 2 Sb 3.02-3.13, 3 Cd 3.16-3.27
Cd 0.2321 0.0189 0.2171  2 Sn 3.01-3.14, 2 Sb 3.02-3.13, 3 Cd 3.16-3.27
Cd 0.9811 0.7679 0.2829  2 Sn 3.01-3.14, 2 Sb 3.02-3.13, 3 Cd 3.16-3.27
Cd 0.5832 0.8339 0.6036  2 Sb 3.00-3.14, 3 Sn 3.08-3.34, 3 Cd 3.20-3.33
Cd 0.1661 0.4168 0.8964  2 Sb 3.00-3.14, 3 Sn 3.08-3.34, 3 Cd 3.20-3.33
Cd 0.4168 0.1661 0.3964  2 Sb 3.00-3.14, 3 Sn 3.08-3.34, 3 Cd 3.20-3.33
Cd 0.8339 0.5832 0.1036  2 Sb 3.00-3.14, 3 Sn 3.08-3.34, 3 Cd 3.20-3.33
Cd 0.2127 0.7985 0.0017  2 Cd 2.97-3.27, 1 Sn 3.01, 2 Sb 3.08-3.13
Cd 0.2015 0.7873 0.4983  2 Cd 2.97-3.27, 1 Sn 3.01, 2 Sb 3.08-3.13
Cd 0.7985 0.2127 0.5017  2 Cd 2.97-3.27, 1 Sn 3.01, 2 Sb 3.08-3.13
Cd 0.7873 0.2015 0.9983  2 Cd 2.97-3.27, 1 Sn 3.01, 2 Sb 3.08-3.13
Sn 0.6900 0.5953 0.8527  6 Cd 3.01-3.34, 2 Sb 3.13-3.19
Sn 0.4047 0.3100 0.6473  6 Cd 3.01-3.34, 2 Sb 3.13-3.19
Sn 0.3100 0.4047 0.1473  6 Cd 3.01-3.34, 2 Sb 3.13-3.19
Sn 0.5953 0.6900 0.3527  6 Cd 3.01-3.34, 2 Sb 3.13-3.19
Sb 0.0000 0.5000 0.5000  6 Cd 3.00-3.13, 2 Sn 3.19
Sb 0.5000 0.0000 0.0000  6 Cd 3.00-3.13, 2 Sn 3.19
Sb 0.7477 0.2523 0.2500  6 Cd 3.02-3.14, 2 Sn 3.13
Sb 0.2523 0.7477 0.7500  6 Cd 3.02-3.14, 2 Sn 3.13